# Ca2ZnHg6

Crystalline Ca2ZnHg6 at its relaxed geometry (PBE-GGA, the Alexandria database).

abc: 7.0794 6.7603 9.6868
angles: 90.00 82.09 90.00
With the nearest neighbours (Å) after each atom.
Element x y z (fractional)
Ca1 0.9402 0.5128 0.7296  10 Hg 3.24-3.60
Ca2 0.5598 0.0128 0.7704  10 Hg 3.24-3.60
Ca3 0.4402 0.9872 0.2296  10 Hg 3.24-3.60
Ca4 0.0598 0.4872 0.2704  10 Hg 3.24-3.60
Zn1 0.5000 0.5000 0.0000  6 Hg 2.70-2.71
Zn2 0.0000 0.0000 0.5000  6 Hg 2.70-2.71
Hg1 0.9552 0.9880 0.2274  1 Zn 2.70, 1 Hg 3.02
Hg2 0.6955 0.7649 0.4824  1 Zn 2.70
Hg3 0.7652 0.7881 0.0044  1 Zn 2.71, 1 Hg 3.02
Hg4 0.7348 0.2881 0.4956  1 Zn 2.71, 1 Hg 3.02
Hg5 0.8045 0.2649 0.0176  1 Zn 2.70
Hg6 0.5448 0.4880 0.2726  1 Zn 2.70, 1 Hg 3.02
Hg7 0.0448 0.0120 0.7726  1 Zn 2.70, 1 Hg 3.02
Hg8 0.3045 0.2351 0.5176  1 Zn 2.70
Hg9 0.2348 0.2119 0.9956  1 Zn 2.71, 1 Hg 3.02
Hg10 0.2652 0.7119 0.5044  1 Zn 2.71, 1 Hg 3.02
Hg11 0.1955 0.7351 0.9824  1 Zn 2.70
Hg12 0.4552 0.5120 0.7274  1 Zn 2.70, 1 Hg 3.02

Properties
symmetry = No. 14
ΔE to the lowest computed polymorph = 0 meV/atom
calculated total energy = -1.0523 eV/atom
E_form = -265 meV/atom